Entry 1:
PBE-GGA Be2ZnSe, optimized geometry; Fermi-level density of states = 0.135 states/eV per atom; uncorrected energy = -11.7 eV per cell
1.0
-1.5789 3.2108 2.2059
-3.8798 1.4387 -0.7388
-1.4775 -2.5879 2.7119
Be Zn Se
2 1 1
direct
0.0691 0.0691 0.7505 Be
0.4309 0.4309 0.7495 Be
0.7500 0.7500 0.7500 Zn
0.2500 0.2500 0.2500 Se

---

Entry 2:
PBE-GGA SbOsBr2, optimized geometry; Fermi-level density of states = 0.536 states/eV per atom; uncorrected energy = -17.3 eV per cell
1.0
3.3998 0.0000 0.0000
0.0000 4.2716 0.0250
0.0000 2.0484 7.5520
Sb Os Br
1 1 2
direct
0.5000 0.7182 0.6904 Sb
0.0000 0.2753 0.5723 Os
0.0000 0.1097 0.9121 Br
0.5000 0.3968 0.3252 Br

---

Entry 3:
PBE-GGA LiTaBe, optimized geometry; ΔE_f = 0.4899 eV per atom; Fermi-level density of states = 0.736 states/eV per atom; uncorrected energy = -32.0 eV per cell
1.0
3.5467 0.0000 0.0000
0.0000 3.5467 0.0000
0.0000 0.0000 6.1256
Be Li Ta
2 2 2
direct
0.0000 0.0000 0.5000 Be
0.5000 0.5000 0.5000 Be
0.0000 0.5000 0.2979 Li
0.5000 0.0000 0.7021 Li
0.0000 0.5000 0.8744 Ta
0.5000 0.0000 0.1256 Ta

---

Number 1: ΔE to the lowest computed polymorph 0.044 eV per atom. Number 2: ΔE to the lowest computed polymorph 0.062 eV per atom. Number 3: ΔE to the lowest computed polymorph 0.361 eV per atom.